Material: CaZr2Re
Method: DFT, GGA-PBE
State: relaxed

ΔE_f: 232 meV per atom
total DFT energy (no corrections): -7.655 eV/atom
size of the total moment: 0.0 μB per cell

a = 3.480 Å, b = 4.836 Å, c = 10.837 Å
α = 90.00°, β = 90.00°, γ = 90.00°
Space group Imm2 (No. 44)
Asymmetric unit:
Ca  0.000  0.000  0.000 (multiplicity 2)
Zr  0.000  0.000  0.414 (multiplicity 2)
Zr  0.000  0.500  0.215 (multiplicity 2)
Re  0.000  0.500  0.732 (multiplicity 2)